[1]
Computed, not measured: Nd4NiRuBr2 after structural relaxation at the PBE level of DFT.

Lattice parameters (Å, degrees): 4.077 7.018 8.209 106.56 90.00 90.00
Fractional coordinates of all 8 atoms:
Nd 0.000 0.270 0.801
Nd 0.500 0.232 0.192
Nd 0.500 0.768 0.808
Nd 0.000 0.730 0.199
Ni 0.000 0.000 0.000
Br 0.000 0.500 0.500
Br 0.500 0.000 0.500
Ru 0.500 0.500 0.000

Output
calculated volume	225	Å³/cell
energy	-5.51	eV per atom
crystal system	monoclinic
E_form (uncorrected)	-0.825	eV/atom
symmetry	P2/m (10)
D(E_F)	2.1	states/eV/f.u.

[2]
Computed, not measured: MnPbCl after structural relaxation at the PBE level of DFT.

Lattice parameters (Å, degrees): 8.137 7.795 3.426 83.25 72.03 24.71
Fractional coordinates of all 3 atoms:
Cl 0.956 0.956 0.044
Pb 0.694 0.694 0.306
Mn 0.350 0.350 0.650

Output
calculated volume	79	Å³/cell
energy	-5.09	eV per atom
crystal system	orthorhombic
E_form (uncorrected)	-0.179	eV/atom
symmetry	Fmm2 (42)
D(E_F)	1.3	states/eV/f.u.

[3]
Computed, not measured: Rb2BaTl after structural relaxation at the PBE level of DFT.

Lattice parameters (Å, degrees): 4.373 4.373 15.586 81.94 81.94 60.00
Fractional coordinates of all 4 atoms:
Ba 0.500 0.500 0.500
Rb 0.920 0.920 0.239
Rb 0.080 0.080 0.761
Tl 0.000 0.000 0.000

Output
calculated volume	255	Å³/cell
energy of formation from the pure elements	86.2	kJ/mol of formula units
energy	-1.33	eV per atom
crystal system	trigonal
symmetry	R-3m (166)
D(E_F)	5.4	states/eV/f.u.

Question: Look up the calculated volume of the third one.
Answer: 255 Å³/cell

Question: What is the D(E_F) in the third record?
Answer: 5.4 states/eV/f.u.